CaSc2Pb: optimized geometry, PBE-GGA.

Structure (POSCAR):
```
CaSc2Pb
1.0
1.7471 1.0087 10.7695
-1.7471 1.0087 10.7695
0.0000 -2.0174 10.7695
Ca Sc Pb
1 2 1
Cartesian
0.0000 0.0000 0.0000
0.0000 0.0000 7.8241
0.0000 0.0000 24.4843
0.0000 0.0000 16.1542
```

Energy of formation in eV per atom: 0.0185
Magnetic moment in μB per cell: 1.07
VASP energy in eV per atom: -4.57